# PrU2P3 PBE optimized geometry
data_PrU2P3
_cell_length_a 5.6920
_cell_length_b 12.0977
_cell_length_c 8.0194
_cell_angle_alpha 90.00
_cell_angle_beta 90.01
_cell_angle_gamma 90.00
_symmetry_space_group_name_H-M 'P 1'
_symmetry_Int_Tables_number 1
_symmetry_space_group_name_Hall 'P 1'
loop_
_atom_site_label
_atom_site_fract_x
_atom_site_fract_y
_atom_site_fract_z
Pr1 0.2497 0.0793 0.1258
Pr2 0.2497 0.4207 0.6258
Pr3 0.7503 0.5793 0.3742
Pr4 0.7503 0.9207 0.8742
U1 0.2497 0.0847 0.6214
U2 0.2497 0.4153 0.1214
U3 0.2506 0.7461 0.6251
U4 0.2506 0.7539 0.1251
U5 0.7494 0.2461 0.8749
U6 0.7494 0.2539 0.3749
U7 0.7503 0.5847 0.8786
U8 0.7503 0.9153 0.3786
P1 0.2494 0.2477 0.8736
P2 0.2494 0.2523 0.3736
P3 0.2503 0.5887 0.3625
P4 0.2504 0.5890 0.8847
P5 0.2504 0.9110 0.3847
P6 0.2503 0.9113 0.8625
P7 0.7497 0.0887 0.1375
P8 0.7496 0.0890 0.6153
P9 0.7496 0.4110 0.1153
P10 0.7497 0.4113 0.6375
P11 0.7506 0.7477 0.6264
P12 0.7506 0.7523 0.1264
# ΔH_f (0 K)   -107 kJ/mol of atoms

---

# TaNiPb PBE optimized geometry
data_TaNiPb
_cell_length_a 4.3417
_cell_length_b 4.3417
_cell_length_c 3.3315
_cell_angle_alpha 90.00
_cell_angle_beta 90.00
_cell_angle_gamma 120.00
_symmetry_space_group_name_H-M 'P 1'
_symmetry_Int_Tables_number 1
_symmetry_space_group_name_Hall 'P 1'
loop_
_atom_site_label
_atom_site_fract_x
_atom_site_fract_y
_atom_site_fract_z
Ta1 0.0000 0.0000 0.0000
Ni1 0.6667 0.3333 0.2663
Pb1 0.3333 0.6667 0.5270
# ΔH_f (0 K)   40 kJ/mol of atoms

---

# In4Hg4I3 PBE optimized geometry
data_In4Hg4I3
_cell_length_a 4.6923
_cell_length_b 9.4444
_cell_length_c 9.8472
_cell_angle_alpha 63.17
_cell_angle_beta 88.79
_cell_angle_gamma 77.00
_symmetry_space_group_name_H-M 'P 1'
_symmetry_Int_Tables_number 1
_symmetry_space_group_name_Hall 'P 1'
loop_
_atom_site_label
_atom_site_fract_x
_atom_site_fract_y
_atom_site_fract_z
In1 0.0420 0.4659 0.2431
In2 0.2967 0.9080 0.2806
In3 0.7033 0.0920 0.7194
In4 0.9580 0.5341 0.7569
Hg1 0.1807 0.1425 0.9082
Hg2 0.2022 0.1090 0.5047
Hg3 0.7978 0.8910 0.4953
Hg4 0.8193 0.8575 0.0918
I1 0.3609 0.7379 0.8614
I2 0.5000 0.5000 0.5000
I3 0.6391 0.2621 0.1386
# Energy relative to the elements, uncorrected   -195.5 meV per atom

---

Ordered DFT total energy results: -50.23 -20.09 -18.96; unit eV per formula unit.
Ordered density results: 8.539 13.643 7.218; unit g cm⁻³.